(1)
A relaxed structure of Pr2SmCl8. Source: Alexandria via LeMat-Bulk, functional PBE.

Cell lengths 5.5405, 7.5805, 7.5805 Å; angles 111.69, 100.03, 100.03 degrees
Closest atoms and distances in Å follow each position.
Sites, in units of the cell vectors:
Cl 0.9185 0.6765 0.9307  2 Pr 2.84-2.85, 1 Cl 3.18
Cl 0.9185 0.9307 0.6765  2 Pr 2.84-2.85, 1 Cl 3.18
Cl 0.3267 0.6430 0.6430  1 Sm 2.89, 2 Pr 2.97
Sm 0.5000 0.0000 0.0000  4 Cl 2.83-2.89
Pr 0.0000 0.3147 0.6853  8 Cl 2.84-2.99
Pr 0.0000 0.6853 0.3147  8 Cl 2.84-2.99
Cl 0.0815 0.3235 0.0693  2 Pr 2.84-2.85, 1 Cl 3.18
Cl 0.0815 0.0693 0.3235  2 Pr 2.84-2.85, 1 Cl 3.18
Cl 0.5000 0.2252 0.7748  1 Sm 2.83, 2 Pr 2.99
Cl 0.5000 0.7748 0.2252  1 Sm 2.83, 2 Pr 2.99
Cl 0.6733 0.3570 0.3570  1 Sm 2.89, 2 Pr 2.97

- Magnetization: 1.06 μB per cell
- ΔE_f (raw): -2043 meV per atom
- Electronic total energy: -4.684 eV/atom
- Mass density: 4.2 Mg/m³


(2)
A relaxed structure of MnTc2Rh. Source: Alexandria via LeMat-Bulk, functional PBE.

Cell lengths 4.1457, 2.6678, 5.1686 Å; angles 75.08, 90.00, 90.00 degrees
Closest atoms and distances in Å follow each position.
Sites, in units of the cell vectors:
Tc 0.0000 0.9469 0.9821  1 Mn 2.51, 2 Tc 2.67, 4 Rh 2.72
Rh 0.5000 0.5611 0.7533  2 Mn 2.47, 7 Tc 2.63-2.72, 2 Rh 2.67
Tc 0.5000 0.2973 0.2801  3 Rh 2.63-2.71, 4 Mn 2.67, 6 Tc 2.67-2.88
Mn 0.0000 0.6947 0.4845  2 Rh 2.47, 5 Tc 2.51-2.67, 2 Mn 2.67

- Polymorph energy (0 for the lowest one): 0.049 eV per atom
- Magnetization: 1.61 μB per cell
- Electronic total energy: -9.291 eV/atom
- Energy of formation from the pure elements: 0.022 eV per atom
- Mass density: 10.6 Mg/m³


(3)
A relaxed structure of HgBiBr2. Source: Alexandria via LeMat-Bulk, functional PBE.

Cell lengths 5.4244, 5.4244, 5.4244 Å; angles 60.00, 60.00, 60.00 degrees
Closest atoms and distances in Å follow each position.
Sites, in units of the cell vectors:
Hg 0.0000 0.0000 0.0000  8 Br 3.32
Br 0.2500 0.2500 0.2500  4 Bi 3.32, 4 Hg 3.32
Bi 0.5000 0.5000 0.5000  8 Br 3.32
Br 0.7500 0.7500 0.7500  4 Bi 3.32, 4 Hg 3.32

- Polymorph energy (0 for the lowest one): 0.290 eV per atom
- Magnetization: 0.00 μB per cell
- ΔE_f (raw): -37 meV per atom
- Electronic total energy: -1.919 eV/atom
- Mass density: 8.4 Mg/m³


(4)
A relaxed structure of Ac2CuTe. Source: Alexandria via LeMat-Bulk, functional PBE.

Cell lengths 4.3281, 4.3281, 8.9019 Å; angles 75.93, 75.93, 60.00 degrees
Closest atoms and distances in Å follow each position.
Sites, in units of the cell vectors:
Te 0.6674 0.6674 0.9979  6 Ac 3.37-3.39
Ac 0.2448 0.2448 0.2656  3 Cu 3.22, 3 Te 3.39
Cu 0.4991 0.4991 0.5026  6 Ac 3.19-3.22
Ac 0.0887 0.0887 0.7338  3 Cu 3.19, 3 Te 3.37

- Polymorph energy (0 for the lowest one): 0.081 eV per atom
- Magnetization: 0.00 μB per cell
- ΔE_f (raw): -655 meV per atom
- Electronic total energy: -4.519 eV/atom
- Mass density: 7.7 Mg/m³


(5)
A relaxed structure of KAlAg3. Source: Alexandria via LeMat-Bulk, functional PBE.

Cell lengths 5.0993, 5.0993, 5.0993 Å; angles 90.00, 90.00, 90.00 degrees
Closest atoms and distances in Å follow each position.
Sites, in units of the cell vectors:
Ag 0.5000 0.0000 0.0000  2 Al 2.55
Al 0.0000 0.0000 0.0000  6 Ag 2.55
Ag 0.0000 0.5000 0.0000  2 Al 2.55
K 0.5000 0.5000 0.5000  12 Ag 3.61
Ag 0.0000 0.0000 0.5000  2 Al 2.55

- Polymorph energy (0 for the lowest one): 0.103 eV per atom
- Magnetization: 0.00 μB per cell
- Electronic total energy: -2.558 eV/atom
- Energy of formation from the pure elements: 0.121 eV per atom
- Mass density: 4.9 Mg/m³


(6)
A relaxed structure of K3HfS3. Source: Alexandria via LeMat-Bulk, functional PBE.

Cell lengths 7.8655, 8.4532, 13.2852 Å; angles 90.00, 90.00, 102.57 degrees
Closest atoms and distances in Å follow each position.
Sites, in units of the cell vectors:
K 0.2859 0.4530 0.8228  6 S 3.26-3.57
K 0.3736 0.9767 0.8735  4 S 3.17-3.31
S 0.9546 0.1335 0.8961  2 Hf 2.47-2.49
K 0.2640 0.6034 0.1011  5 S 3.09-3.41
S 0.0284 0.7066 0.8078  1 Hf 2.42
K 0.6264 0.0233 0.1265  4 S 3.17-3.31
S 0.5284 0.2066 0.6922  1 Hf 2.42
S 0.0454 0.8665 0.1039  2 Hf 2.47-2.49
Hf 0.6029 0.6581 0.4372  4 S 2.40-2.49
Hf 0.8971 0.8419 0.9372  4 S 2.40-2.49
S 0.9088 0.7698 0.4572  1 Hf 2.40
Hf 0.3971 0.3419 0.5628  4 S 2.40-2.49
K 0.7141 0.5470 0.1772  6 S 3.26-3.57
S 0.5454 0.3665 0.3961  2 Hf 2.47-2.49
Hf 0.1029 0.1581 0.0628  4 S 2.40-2.49
S 0.5912 0.7302 0.9572  1 Hf 2.40
K 0.7640 0.1034 0.3989  5 S 3.09-3.41
K 0.1264 0.5233 0.3735  4 S 3.17-3.31
S 0.9716 0.2934 0.1922  1 Hf 2.42
S 0.4546 0.6335 0.6039  2 Hf 2.47-2.49
K 0.2141 0.0470 0.3228  6 S 3.26-3.57
K 0.7859 0.9530 0.6772  6 S 3.26-3.57
S 0.0912 0.2302 0.5428  1 Hf 2.40
S 0.4716 0.7934 0.3078  1 Hf 2.42
K 0.8736 0.4767 0.6265  4 S 3.17-3.31
S 0.4088 0.2698 0.0428  1 Hf 2.40
K 0.2360 0.8966 0.6011  5 S 3.09-3.41
K 0.7360 0.3966 0.8989  5 S 3.09-3.41

- Polymorph energy (0 for the lowest one): 0.017 eV per atom
- Magnetization: 0.00 μB per cell
- ΔE_f (raw): -1279 meV per atom
- Electronic total energy: -4.940 eV/atom
- Mass density: 3.0 Mg/m³


(7)
A relaxed structure of Sc2WAu. Source: Alexandria via LeMat-Bulk, functional PBE.

Cell lengths 3.0321, 4.3872, 5.8027 Å; angles 90.00, 90.00, 90.00 degrees
Closest atoms and distances in Å follow each position.
Sites, in units of the cell vectors:
Au 0.5000 0.5000 0.7735  6 Sc 2.84-2.97, 2 Au 3.03
W 0.0000 0.0000 0.4692  6 Sc 2.87-2.92, 2 W 3.03, 4 Au 3.20
Sc 0.5000 0.5000 0.2846  2 Au 2.84-2.97, 4 W 2.87, 2 Sc 3.03
Sc 0.0000 0.0000 0.9727  2 W 2.88-2.92, 4 Au 2.91, 6 Sc 3.03-3.22

- Polymorph energy (0 for the lowest one): 0.225 eV per atom
- Magnetization: 0.00 μB per cell
- Electronic total energy: -7.191 eV/atom
- Energy of formation from the pure elements: 0.033 eV per atom
- Mass density: 10.1 Mg/m³


(8)
A relaxed structure of K2ZrAs. Source: Alexandria via LeMat-Bulk, functional PBE.

Cell lengths 3.8056, 3.8056, 10.6112 Å; angles 90.00, 90.00, 90.00 degrees
Closest atoms and distances in Å follow each position.
Sites, in units of the cell vectors:
As 0.5000 0.5000 0.6441  4 Zr 2.73
K 0.0000 0.0000 0.9361  1 Zr 3.53, 4 K 3.81
Zr 0.0000 0.0000 0.6031  4 As 2.73
K 0.5000 0.5000 0.3167  1 As 3.47, 4 K 3.81

- Magnetization: 1.36 μB per cell
- Electronic total energy: -4.050 eV/atom
- Energy of formation from the pure elements: -0.201 eV per atom
- Mass density: 2.6 Mg/m³


(9)
A relaxed structure of YPdNO2. Source: Alexandria via LeMat-Bulk, functional PBE.

Cell lengths 4.3643, 4.3643, 4.5673 Å; angles 90.00, 90.00, 90.00 degrees
Closest atoms and distances in Å follow each position.
Sites, in units of the cell vectors:
O 0.5000 0.0000 0.0000  2 Y 2.18
Pd 0.5000 0.5000 0.5000  4 N 3.09, 8 O 3.16
Y 0.0000 0.0000 0.0000  4 O 2.18, 2 N 2.28
O 0.0000 0.5000 0.0000  2 Y 2.18
N 0.0000 0.0000 0.5000  2 Y 2.28

- Magnetization: 4.02 μB per cell
- ΔE_f (raw): -69 meV per atom
- Electronic total energy: -6.048 eV/atom
- Mass density: 4.6 Mg/m³


(10)
A relaxed structure of Mg3Cl2. Source: Alexandria via LeMat-Bulk, functional PBE.

Cell lengths 7.8453, 7.0777, 6.7742 Å; angles 68.95, 57.35, 53.70 degrees
Closest atoms and distances in Å follow each position.
Sites, in units of the cell vectors:
Cl 0.8359 0.8891 0.3820  3 Mg 2.52-2.55
Cl 0.3609 0.4141 0.3570  3 Mg 2.52-2.55
Mg 0.5368 0.7726 0.5172  2 Cl 2.52-2.54
Mg 0.3110 0.1890 0.1890  2 Cl 2.55
Cl 0.8680 0.3570 0.4141  3 Mg 2.52-2.55
Mg 0.7328 0.0767 0.7132  2 Cl 2.52-2.54
Mg 0.4774 0.7132 0.0767  2 Cl 2.52-2.54
Mg 0.1733 0.5172 0.7726  2 Cl 2.52-2.54
Cl 0.8930 0.3820 0.8891  3 Mg 2.52-2.55
Mg 0.0610 0.9390 0.9390  2 Cl 2.55

- Polymorph energy (0 for the lowest one): 0.069 eV per atom
- Magnetization: 0.00 μB per cell
- ΔE_f (raw): -790 meV per atom
- Electronic total energy: -2.486 eV/atom
- Mass density: 1.9 Mg/m³


(11)
A relaxed structure of GeRhO3. Source: Alexandria via LeMat-Bulk, functional PBE.

Cell lengths 3.1075, 5.7050, 7.3759 Å; angles 99.98, 90.00, 105.80 degrees
Closest atoms and distances in Å follow each position.
Sites, in units of the cell vectors:
Ge 0.8859 0.7718 0.1831  4 O 1.79-1.80
O 0.0501 0.1002 0.2639  1 Ge 1.79
O 0.6485 0.2970 0.9381  2 Ge 1.80
Ge 0.1141 0.2282 0.8169  4 O 1.79-1.80
O 0.8142 0.6285 0.3850  1 Ge 1.80
Rh 0.3929 0.7857 0.5588  4 O 2.05-2.10
Rh 0.6071 0.2143 0.4412  4 O 2.05-2.10
O 0.9499 0.8998 0.7361  1 Ge 1.79
O 0.3515 0.7030 0.0619  2 Ge 1.80
O 0.1858 0.3715 0.6150  1 Ge 1.80

- Magnetization: 0.00 μB per cell
- ΔE_f (raw): -1081 meV per atom
- Electronic total energy: -6.450 eV/atom
- Mass density: 6.0 Mg/m³


(12)
A relaxed structure of Na3MoP. Source: Alexandria via LeMat-Bulk, functional PBE.

Cell lengths 5.4312, 5.4312, 5.4312 Å; angles 90.00, 90.00, 90.00 degrees
Closest atoms and distances in Å follow each position.
Sites, in units of the cell vectors:
Na 0.0000 0.0000 0.5000  2 P 2.72
Na 0.0000 0.5000 0.0000  2 P 2.72
P 0.0000 0.0000 0.0000  6 Na 2.72
Mo 0.5000 0.5000 0.5000  12 Na 3.84
Na 0.5000 0.0000 0.0000  2 P 2.72

- Polymorph energy (0 for the lowest one): 0.000 eV per atom
- Magnetization: 5.96 μB per cell
- Electronic total energy: -3.166 eV/atom
- Energy of formation from the pure elements: 0.874 eV per atom
- Mass density: 2.0 Mg/m³


(13)
A relaxed structure of NpCoSn2. Source: Alexandria via LeMat-Bulk, functional PBE.

Cell lengths 3.1132, 3.1132, 10.5173 Å; angles 81.49, 81.49, 60.00 degrees
Closest atoms and distances in Å follow each position.
Sites, in units of the cell vectors:
Co 0.5000 0.5000 0.5000  6 Sn 2.67
Sn 0.1033 0.1033 0.6901  3 Co 2.67
Sn 0.8967 0.8967 0.3099  3 Co 2.67
Np 0.0000 0.0000 0.0000  6 Np 3.11, 2 Sn 3.21

- Magnetization: 3.19 μB per cell
- Electronic total energy: -6.668 eV/atom
- Energy of formation from the pure elements: 0.345 eV per atom
- Mass density: 10.2 Mg/m³